[1]
This record from Alexandria describes Nd8Ru3RhI4 after structural relaxation. The functional is GGA-PBE.

The space group is R-3m (No. 166, hexagonal axes) and the conventional cell measures 8.3219, 8.3219 and 24.5283 Å, with angles of 90.00, 90.00 and 120.00 degrees. The asymmetric unit holds Nd at (0.0000, 0.0000, 0.2290), Nd at (0.0051, 0.5026, 0.7716), Ru at (0.0000, 0.5000, 0.5000), Rh at (0.0000, 0.0000, 0.5000), I at (0.0000, 0.0000, 0.0000) and I at (0.0000, 0.5000, 0.0000).

Its uncorrected formation energy is -0.701 eV/atom.

=====

[2]
This record from Alexandria describes Ce3Th3In2 after structural relaxation. The functional is GGA-PBE.

The space group is C2/m (No. 12) and the conventional cell measures 15.214, 5.779 and 5.793 Å, with angles of 90.00, 112.37 and 90.00 degrees. The asymmetric unit holds Ce at (0.000, 0.000, 0.000), Ce at (0.133, 0.000, 0.633), Th at (0.000, 0.500, 0.500), Th at (0.133, 0.500, 0.133) and In at (0.249, 0.000, 0.249).

The calculated formation energy comes out at -0.064 eV/atom.

=====

Repeat the first record exactly.
This record from Alexandria describes Nd8Ru3RhI4 after structural relaxation. The functional is GGA-PBE.

The space group is R-3m (No. 166, hexagonal axes) and the conventional cell measures 8.3219, 8.3219 and 24.5283 Å, with angles of 90.00, 90.00 and 120.00 degrees. The asymmetric unit holds Nd at (0.0000, 0.0000, 0.2290), Nd at (0.0051, 0.5026, 0.7716), Ru at (0.0000, 0.5000, 0.5000), Rh at (0.0000, 0.0000, 0.5000), I at (0.0000, 0.0000, 0.0000) and I at (0.0000, 0.5000, 0.0000).

Its uncorrected formation energy is -0.701 eV/atom.